Record 1
Compound: Mn2PtBr
Source: Alexandria via LeMat-Bulk
Functional: GGA-PBE
Structure: optimized geometry

Summary:
Its calculated total energy is -25.38 eV/cell. The formation energy (no corrections) comes out at 0.169 eV per atom. The energy above the most stable polymorph in this dataset comes out at 273.6 meV per atom.

Unit cell a=4.793 b=4.793 c=3.087 alpha=90.00 beta=90.00 gamma=90.00
Element x y z (fractional)
Mn  0.000  0.500  0.000
Mn  0.500  0.000  0.000
Pt  0.000  0.000  0.530
Br  0.500  0.500  0.389

---

Record 2
Compound: PrPuI5
Source: Alexandria via LeMat-Bulk
Functional: GGA-PBE
Structure: optimized geometry

Summary:
Its calculated total energy is -71.37 eV/cell. The formation energy (no corrections) comes out at -1.261 eV per atom.

Unit cell a=9.364 b=4.345 c=15.138 alpha=90.00 beta=94.82 gamma=90.00
Element x y z (fractional)
Pr  0.082  0.250  0.157
Pr  0.918  0.750  0.843
Pu  0.406  0.750  0.360
Pu  0.594  0.250  0.640
I  0.139  0.250  0.789
I  0.151  0.250  0.370
I  0.183  0.750  0.017
I  0.355  0.750  0.570
I  0.427  0.250  0.198
I  0.573  0.750  0.802
I  0.645  0.250  0.430
I  0.817  0.250  0.983
I  0.849  0.750  0.630
I  0.861  0.750  0.211

---

Record 3
Compound: YHfPd2
Source: Alexandria via LeMat-Bulk
Functional: GGA-PBE
Structure: optimized geometry

Summary:
Its calculated total energy is -29.62 eV/cell. The energy above the most stable polymorph in this dataset comes out at 43.3 meV per atom. The calculation puts the energy of formation at -703 meV/atom.

Unit cell a=5.239 b=5.239 c=5.239 alpha=52.49 beta=52.49 gamma=52.49
Element x y z (fractional)
Y  0.000  0.000  0.000
Hf  0.500  0.500  0.500
Pd  0.219  0.219  0.219
Pd  0.781  0.781  0.781

---

Question: Which formula does entry 3 have?
Answer: YHfPd2

---

Question: Which value of calculated total energy does entry 2 give?
Answer: -71.37 eV/cell

---

Question: calculated total energy of number 2 (PrPuI5)?
Answer: -71.37 eV/cell